Density functional theory data (GGA-PBE) for crystalline Cs2SiBr6Cl at its relaxed geometry.

abc: 8.2031 8.2031 10.6858
angles: 90.00 90.00 90.00
Closest atoms and distances in Å follow each position.
Space group I4/mmm (No. 139)
One atom of each set of equivalent atoms:
Cs: 0.0000 0.5000 0.2500  12 Br 3.97-4.10
Si: 0.0000 0.0000 0.0000  6 Br 2.41-2.53
Br: 0.0000 0.0000 0.2369  1 Si 2.53, 1 Cl 2.81
Br: 0.2081 0.2081 0.0000  1 Si 2.41
Cl: 0.0000 0.0000 0.5000  2 Br 2.81

Results
formation energy from raw total energies: -0.975 eV per atom
total magnetic moment: 0.92 μB/f.u.